VASP calculation (PBE) on MnBe2Sb2 after structural relaxation.

Values from the calculation:
Space group ... I4/mmm, No. 139
Theoretical density ... 6.49 g/cm³
Excess energy over the best structure of this formula in the dataset ... 1.12 eV/f.u.
ΔE_f (raw) ... 621 meV/atom

abc: 4.784 4.784 4.784
angles: 116.45 116.45 96.27
Fractional positions:
1 Mn 0.000 0.000 0.000
2 Be 0.338 0.338 0.000
3 Be 0.662 0.662 0.000
4 Sb 0.250 0.750 0.500
5 Sb 0.750 0.250 0.500